Sm3Mg2Ga4: optimized geometry, PBE.

Output
Total moment: 0.00 μB per formula unit
D(E_F): 5.72 states/eV/f.u.
Energy above the most stable polymorph in this dataset: 0.060 eV per atom
Crystal system: monoclinic
E_form: -0.4347 eV/atom
Space-group type: C2/m

```
9
Lattice="5.299 -2.239 0.000 5.299 2.239 0.000 -1.153 0.000 8.986" Properties=species:S:1:pos:R:3 pbc="T T T"
Sm 0.000 0.000 0.000
Sm 3.239 0.000 5.485
Sm 6.205 0.000 3.501
Mg 3.110 0.000 2.031
Mg 6.334 0.000 6.955
Ga 0.033 0.000 5.767
Ga 2.096 0.000 8.288
Ga 7.348 0.000 0.698
Ga 9.411 0.000 3.220
```

LiGaCl3: optimized geometry, PBE.

Output
Total moment: 0.00 μB per formula unit
DFT total energy: -3.08 eV/atom
D(E_F): 0.84 states/eV/f.u.
Crystal system: cubic
Space-group type: Pm-3m

```
5
Lattice="5.058 0.000 0.000 0.000 5.058 0.000 0.000 0.000 5.058" Properties=species:S:1:pos:R:3 pbc="T T T"
Li 0.000 0.000 0.000
Ga 2.529 2.529 2.529
Cl 0.000 2.529 2.529
Cl 2.529 0.000 2.529
Cl 2.529 2.529 0.000
```